Cu3HgSe3 | PBE-GGA | optimized geometry

Geometry as POSCAR:
```
Cu3HgSe3
1.0
6.775 0.000 0.000
3.388 5.868 0.000
3.388 1.956 7.476
Hg Se Cu
2 6 6
direct
0.334 0.334 0.999 Hg
0.666 0.666 0.001 Hg
0.087 0.756 0.731 Se
0.426 0.087 0.731 Se
0.756 0.426 0.731 Se
0.244 0.574 0.269 Se
0.574 0.913 0.269 Se
0.913 0.244 0.269 Se
0.865 0.532 0.403 Cu
0.800 0.135 0.597 Cu
0.532 0.200 0.403 Cu
0.135 0.468 0.597 Cu
0.200 0.865 0.403 Cu
0.468 0.800 0.597 Cu
```

## Properties
Calculated total energy = -47.5 eV per cell

=====

Cu2HgSe | PBE-GGA | optimized geometry

Geometry as POSCAR:
```
Cu2HgSe
1.0
6.626 0.894 -0.032
4.182 5.217 0.032
-5.330 -3.186 2.478
Se Cu Hg
1 2 1
direct
0.230 0.730 0.500 Se
0.727 0.227 0.500 Cu
0.071 0.071 0.000 Cu
0.471 0.471 0.000 Hg
```

## Properties
Calculated total energy = -11.5 eV per cell

=====

Cu12Hg3Se5 | PBE-GGA | optimized geometry

Geometry as POSCAR:
```
Cu12Hg3Se5
1.0
-5.144 11.521 -0.189
-8.053 -8.287 -5.070
2.482 -3.302 11.923
Cu Hg Se
48 12 20
direct
0.837 0.919 0.280 Cu
0.057 0.418 0.837 Cu
0.337 0.557 0.418 Cu
0.919 0.837 0.780 Cu
0.418 0.361 0.581 Cu
0.663 0.220 0.581 Cu
0.082 0.163 0.443 Cu
0.081 0.918 0.361 Cu
0.443 0.780 0.861 Cu
0.220 0.557 0.639 Cu
0.943 0.361 0.280 Cu
0.639 0.057 0.220 Cu
0.163 0.081 0.720 Cu
0.557 0.220 0.139 Cu
0.639 0.582 0.919 Cu
0.139 0.720 0.557 Cu
0.337 0.780 0.419 Cu
0.919 0.082 0.639 Cu
0.361 0.418 0.081 Cu
0.057 0.639 0.720 Cu
0.780 0.337 0.919 Cu
0.720 0.581 0.163 Cu
0.418 0.057 0.337 Cu
0.861 0.280 0.443 Cu
0.419 0.139 0.582 Cu
0.918 0.837 0.557 Cu
0.582 0.639 0.419 Cu
0.280 0.419 0.837 Cu
0.581 0.720 0.663 Cu
0.361 0.943 0.780 Cu
0.918 0.081 0.861 Cu
0.582 0.943 0.663 Cu
0.081 0.163 0.220 Cu
0.557 0.337 0.918 Cu
0.663 0.443 0.582 Cu
0.780 0.443 0.361 Cu
0.220 0.663 0.081 Cu
0.861 0.581 0.918 Cu
0.163 0.082 0.943 Cu
0.419 0.280 0.337 Cu
0.581 0.861 0.418 Cu
0.082 0.919 0.139 Cu
0.443 0.663 0.082 Cu
0.837 0.918 0.057 Cu
0.280 0.861 0.943 Cu
0.943 0.582 0.163 Cu
0.139 0.419 0.082 Cu
0.720 0.139 0.057 Cu
0.375 0.750 0.625 Hg
0.875 0.750 0.125 Hg
0.125 0.875 0.750 Hg
0.125 0.250 0.875 Hg
0.750 0.375 0.125 Hg
0.875 0.125 0.250 Hg
0.750 0.875 0.625 Hg
0.250 0.125 0.375 Hg
0.625 0.250 0.375 Hg
0.625 0.375 0.750 Hg
0.250 0.625 0.875 Hg
0.375 0.625 0.250 Hg
0.250 0.875 0.125 Se
0.000 0.000 0.000 Se
0.125 0.750 0.375 Se
0.625 0.750 0.875 Se
0.500 0.000 0.500 Se
0.875 0.250 0.625 Se
0.125 0.375 0.250 Se
0.500 0.500 0.500 Se
0.375 0.250 0.125 Se
0.625 0.875 0.250 Se
0.000 0.000 0.500 Se
0.250 0.375 0.625 Se
0.500 0.500 0.000 Se
0.375 0.125 0.750 Se
0.500 0.000 0.000 Se
0.750 0.125 0.875 Se
0.000 0.500 0.500 Se
0.750 0.625 0.375 Se
0.875 0.625 0.750 Se
0.000 0.500 0.000 Se
```

## Properties
Calculated total energy = -262.0 eV per cell